The following is a GGA-PBE calculation of a relaxed structure of Y2BRu, from the Alexandria database.

Cell: 6.705 6.705 6.705 Å, 90.00 90.00 90.00°
Space group Fm-3m (No. 225)
Inequivalent atoms, fractional coordinates:
Y 0.250 0.250 0.250 x8
B 0.000 0.000 0.000 x4
Ru 0.000 0.000 0.500 x4

Values from the calculation:
Formation energy in eV/atom: 0.0713



The following is a GGA-PBE calculation of a relaxed structure of NaSb3Pb4, from the Alexandria database.

Cell: 14.054 4.496 9.318 Å, 90.00 112.54 90.00°
Space group C2/m (No. 12)
Inequivalent atoms, fractional coordinates:
Na 0.000 0.000 0.000 x2
Sb 0.000 0.500 0.500 x2
Sb 0.183 0.500 0.202 x4
Pb 0.139 0.000 0.448 x4
Pb 0.174 0.500 0.835 x4

Values from the calculation:
Formation energy from raw total energies in meV per atom: -54



The following is a GGA-PBE calculation of a relaxed structure of TbYGa, from the Alexandria database.

Cell: 7.041 7.041 7.041 Å, 90.00 90.00 90.00°
Space group F-43m (No. 216)
Inequivalent atoms, fractional coordinates:
Tb 0.000 0.000 0.000 x4
Y 0.000 0.000 0.500 x4
Ga 0.250 0.250 0.250 x4

Values from the calculation:
Formation energy in eV/atom: -0.2645



The following is a GGA-PBE calculation of a relaxed structure of SrPmSi4, from the Alexandria database.

Cell: 7.840 7.840 7.840 Å, 90.00 90.00 90.00°
Space group F-43m (No. 216)
Inequivalent atoms, fractional coordinates:
Sr 0.000 0.000 0.000 x4
Pm 0.250 0.250 0.250 x4
Si 0.116 0.116 0.616 x16

Values from the calculation:
Formation energy from raw total energies in meV per atom: -214



The following is a GGA-PBE calculation of a relaxed structure of FeAu, from the Alexandria database.

Cell: 9.286 2.891 4.729 Å, 90.00 106.38 90.00°
Space group C2/m (No. 12)
Inequivalent atoms, fractional coordinates:
Fe 0.145 0.000 0.375 x4
Au 0.112 0.500 0.847 x4

Values from the calculation:
Formation energy in eV/atom: 0.1363



The following is a GGA-PBE calculation of a relaxed structure of Ca3CeF8, from the Alexandria database.

Cell: 5.624 5.624 5.624 Å, 90.00 90.00 90.00°
Space group Pm-3m (No. 221)
Inequivalent atoms, fractional coordinates:
Ca 0.000 0.000 0.500 x3
Ce 0.500 0.500 0.500 x1
F 0.244 0.244 0.244 x8

Values from the calculation:
Formation energy from raw total energies in meV per atom: -3746



The following is a GGA-PBE calculation of a relaxed structure of ZrAlTcNi, from the Alexandria database.

Cell: 6.262 6.262 6.262 Å, 90.00 90.00 90.00°
Space group F-43m (No. 216)
Inequivalent atoms, fractional coordinates:
Zr 0.000 0.000 0.000 x4
Al 0.000 0.000 0.500 x4
Tc 0.250 0.250 0.250 x4
Ni 0.250 0.250 0.750 x4

Values from the calculation:
Formation energy in eV/atom: -0.4237



The following is a GGA-PBE calculation of a relaxed structure of CoCuPd14, from the Alexandria database.

Cell: 9.079 5.556 9.570 Å, 90.00 90.00 90.00°
Space group Amm2 (No. 38)
Inequivalent atoms, fractional coordinates:
Co 0.000 0.000 0.000 x2
Cu 0.000 0.000 0.501 x2
Pd 0.000 0.249 0.254 x4
Pd 0.240 0.249 0.081 x8
Pd 0.246 0.000 0.835 x4
Pd 0.248 0.000 0.334 x4
Pd 0.500 0.000 0.165 x2
Pd 0.500 0.000 0.665 x2
Pd 0.500 0.250 0.416 x4

Values from the calculation:
Formation energy in eV/atom: 0.0154



The following is a GGA-PBE calculation of a relaxed structure of ErCu7Ni5, from the Alexandria database.

Cell: 4.795 8.300 8.303 Å, 90.00 90.00 90.00°
Space group Imm2 (No. 44)
Inequivalent atoms, fractional coordinates:
Er 0.000 0.000 0.000 x2
Cu 0.000 0.000 0.353 x2
Cu 0.000 0.000 0.653 x2
Cu 0.000 0.281 0.505 x4
Cu 0.000 0.352 0.006 x4
Cu 0.000 0.500 0.727 x2
Ni 0.000 0.500 0.284 x2
Ni 0.250 0.248 0.755 x8

Values from the calculation:
Formation energy in eV/atom: -0.1250



The following is a GGA-PBE calculation of a relaxed structure of Zr4CoP, from the Alexandria database.

Cell: 6.427 6.427 5.419 Å, 90.00 90.00 90.00°
Space group P4/mcc (No. 124)
Inequivalent atoms, fractional coordinates:
Zr 0.160 0.332 0.000 x8
Co 0.000 0.000 0.250 x2
P 0.500 0.500 0.250 x2

Values from the calculation:
Formation energy in eV/atom: -0.6185



The following is a GGA-PBE calculation of a relaxed structure of B2C, from the Alexandria database.

Cell: 4.330 5.145 5.255 Å, 97.57 112.84 111.28°
Space group P-1 (No. 2)
Inequivalent atoms, fractional coordinates:
B 0.052 0.182 0.085 x2
B 0.122 0.186 0.516 x2
B 0.221 0.647 0.623 x2
B 0.271 0.106 0.844 x2
C 0.298 0.782 0.939 x2
C 0.432 0.344 0.416 x2

Values from the calculation:
Formation energy in eV/atom: 0.4829



The following is a GGA-PBE calculation of a relaxed structure of Zn2CoTc, from the Alexandria database.

Cell: 2.558 3.890 5.380 Å, 90.00 90.00 90.00°
Space group Pmmm (No. 47)
Inequivalent atoms, fractional coordinates:
Zn 0.000 0.000 0.238 x2
Co 0.500 0.500 0.000 x1
Tc 0.500 0.500 0.500 x1

Values from the calculation:
Formation energy in eV/atom: 0.1517



Calculated values (eV for the cell shown) of electronic total energy for the records, taken in order: -114.38 -57.91 -59.66 -117.63 -45.87 -71.87 -120.53 -167.31 -127.54 -100.84 -84.52 -19.41.
Calculated values (states/eV per atom) of DOS at the Fermi energy for the records, taken in order: 0.55 0.22 1.61 0.54 0.75 0.85 0.44 1.80 0.74 0.79 0.16 1.25.